VASP calculation (PBE) on a relaxed CrNiMoRu crystal.

POSCAR file:
```
CrNiMoRu
1.0
5.9959 0.0000 0.0000
0.0000 5.9959 0.0000
0.0000 0.0000 5.9959
Cr Ni Mo Ru
4 4 4 4
Cartesian
0.0000 0.0000 0.0000
0.0000 2.9980 2.9980
2.9980 0.0000 2.9980
2.9980 2.9980 0.0000
1.4990 1.4990 1.4990
1.4990 4.4969 4.4969
4.4969 1.4990 4.4969
4.4969 4.4969 1.4990
1.4990 1.4990 4.4969
1.4990 4.4969 1.4990
4.4969 1.4990 1.4990
4.4969 4.4969 4.4969
0.0000 0.0000 2.9980
0.0000 2.9980 0.0000
2.9980 0.0000 0.0000
2.9980 2.9980 2.9980
```

Summary:
For the formation energy, the calculation gives 0.1527 eV/atom. The density is 9.48 g/cm3. For the energy above the most stable polymorph in this dataset, the calculation gives 0.1377 eV per atom.